Record 1
Material: Dy2InNi2
Method: DFT, PBE
State: optimized geometry

Its crystal system is tetragonal. As for the raw total energy: -52.2 eV/cell.

It has space group P4/mbm (No. 127), with a = 7.3877 Å, b = 7.3877 Å, c = 3.6712 Å, α = 90.00°, β = 90.00° and γ = 90.00°. Symmetry generates all atoms from Dy at (0.1759, 0.3241, 0.0000), In at (0.0000, 0.0000, 0.5000) and Ni at (0.1192, 0.6192, 0.5000).

=====

Record 2
Material: Na3AlPd2O6
Method: DFT, PBE
State: optimized geometry

Its crystal system is monoclinic. The energy relative to the elements, uncorrected is -1.37 eV per atom. As for the raw total energy: -128.6 eV/cell.

It has space group C2/m (No. 12), with a = 5.5933 Å, b = 9.0670 Å, c = 5.7238 Å, α = 90.00°, β = 111.36° and γ = 90.00°. Symmetry generates all atoms from Na at (0.0000, 0.0000, 0.0000), Na at (0.0000, 0.3277, 0.0000), Al at (0.0000, 0.5000, 0.5000), Pd at (0.0000, 0.1692, 0.5000), O at (0.2073, 0.3447, 0.7066) and O at (0.2493, 0.0000, 0.6929).